No. 1
VASP calculation (PBE) on Cu2ReSi after structural relaxation.

The structure in extended XYZ format:
```
4
Lattice="2.644 0.000 0.000 0.000 4.263 0.000 -0.875 0.000 4.629" Properties=species:S:1:pos:R:3 pbc="T T T"
Cu 0.106 0.000 1.190
Cu 1.663 0.000 3.440
Re 1.322 2.131 0.000
Si -0.437 2.131 2.315
```

Output
Crystal system: monoclinic
SG: P2/m, No. 10
Uncorrected energy (eV/atom): -6.373
DOS(E_F) (states/eV/cell): 2.00
Mass density (g cm⁻³): 10.865

=====

No. 2
VASP calculation (PBE) on Cu2ReSi after structural relaxation.

The structure in extended XYZ format:
```
4
Lattice="-1.758 1.758 4.197 1.758 -1.758 4.197 1.758 1.758 -4.197" Properties=species:S:1:pos:R:3 pbc="T T T"
Cu 1.758 0.000 2.099
Cu 0.000 1.758 2.099
Re 0.000 0.000 0.000
Si 0.000 0.000 4.197
```

Output
Crystal system: tetragonal
SG: I4/mmm, No. 139
Uncorrected energy (eV/atom): -6.280
DOS(E_F) (states/eV/cell): 3.46
Mass density (g cm⁻³): 10.927

=====

No. 3
VASP calculation (PBE) on CuReSi after structural relaxation.

The structure in extended XYZ format:
```
3
Lattice="-1.320 1.903 3.977 1.320 -1.903 3.977 1.320 1.903 -3.977" Properties=species:S:1:pos:R:3 pbc="T T T"
Cu 0.000 0.000 0.000
Re 0.000 0.000 2.637
Si 0.000 0.000 5.319
```

Output
Crystal system: orthorhombic
SG: Imm2, No. 44
Excess energy over the best structure of this formula in the dataset (meV/atom): 138
Uncorrected energy (eV/atom): -7.118
DOS(E_F) (states/eV/cell): 2.25
Mass density (g cm⁻³): 11.548

=====

No. 4
VASP calculation (PBE) on CuReSi after structural relaxation.

The structure in extended XYZ format:
```
3
Lattice="4.124 0.000 0.000 -2.062 3.572 0.000 0.000 0.000 2.638" Properties=species:S:1:pos:R:3 pbc="T T T"
Cu 0.000 0.000 0.000
Re 2.062 1.191 1.337
Si 0.000 2.381 2.535
```

Output
Crystal system: trigonal
SG: P3m1, No. 156
Excess energy over the best structure of this formula in the dataset (meV/atom): 0
Uncorrected energy (eV/atom): -7.257
DOS(E_F) (states/eV/cell): 1.15
Mass density (g cm⁻³): 11.871

=====

No. 5
VASP calculation (PBE) on Cu2ReSi after structural relaxation.

The structure in extended XYZ format:
```
4
Lattice="2.914 0.000 0.000 0.000 4.053 0.000 0.000 0.000 4.380" Properties=species:S:1:pos:R:3 pbc="T T T"
Cu 0.000 0.000 0.000
Cu 1.457 2.027 0.000
Re 0.000 2.027 2.190
Si 1.457 0.000 2.190
```

Output
Crystal system: orthorhombic
SG: Pmmm, No. 47
Uncorrected energy (eV/atom): -6.451
DOS(E_F) (states/eV/cell): 1.68
Mass density (g cm⁻³): 10.959

=====

No. 6
VASP calculation (PBE) on Cu2ReSi after structural relaxation.

The structure in extended XYZ format:
```
4
Lattice="2.588 0.000 0.000 0.000 2.588 0.000 0.000 0.000 7.990" Properties=species:S:1:pos:R:3 pbc="T T T"
Cu 0.000 0.000 1.934
Cu 0.000 0.000 6.056
Re 1.294 1.294 3.995
Si 1.294 1.294 0.000
```

Output
Crystal system: tetragonal
SG: P4/mmm, No. 123
Uncorrected energy (eV/atom): -6.245
DOS(E_F) (states/eV/cell): 1.93
Mass density (g cm⁻³): 10.590